1.
10
Lattice="-6.9812 1.5976 -2.8867 -1.2342 -0.4731 -7.6085 -4.4919 -6.0511 -2.8138" Properties=species:S:1:pos:R:3 comment="K2HoTlCl6 PBE optimized geometry" final_energy_ev_per_cell=-39.59 e_form_raw_mev_per_atom=-1938 vol_a3_per_cell=346 space_group="R3 (146)" pbc="T T T"
Cl -4.9275 -4.7400 -5.7885
Cl -8.3309 -3.7379 -5.0937
Cl -3.7854 -1.5836 -8.7978
Cl -8.6578 -0.1454 -7.7854
Cl -5.2529 -0.6631 -3.9140
Cl -7.2954 -4.3820 -8.4971
Tl -9.2074 -2.5101 -10.1084
Ho -2.7928 0.1753 -3.4772
K -4.3862 -5.6628 -2.8554
K -6.1882 -1.8563 -6.7191

---

2.
9
Lattice="4.7322 0.0000 0.0000 0.0000 4.7322 0.0000 0.0000 0.0000 7.7433" Properties=species:S:1:pos:R:3 comment="SrCdAs2Pd5 PBE optimized geometry" formation_enthalpy_0k_ev_per_atom=-0.42 final_energy_ev_per_cell=-41.64 vol_a3_per_cell=173 space_group="P4/mmm (123)" pbc="T T T"
As 2.3661 2.3661 6.4620
As 2.3661 2.3661 1.2813
Sr 0.0000 0.0000 3.8716
Pd 0.0000 2.3661 5.8422
Pd 2.3661 2.3661 3.8716
Pd 0.0000 2.3661 1.9011
Pd 2.3661 0.0000 5.8422
Pd 2.3661 0.0000 1.9011
Cd 0.0000 0.0000 0.0000

---

3.
4
Lattice="3.2176 0.0000 0.0000 0.0000 4.1548 0.0000 0.0000 0.0000 4.1548" Properties=species:S:1:pos:R:3 comment="ScBeRu2 PBE optimized geometry" formation_enthalpy_0k_ev_per_atom=-0.19 final_energy_ev_per_cell=-29.36 vol_a3_per_cell=56 space_group="P4/mmm (123)" pbc="T T T"
Sc 1.6088 2.0774 0.0000
Ru 0.0000 0.0000 0.0000
Ru 0.0000 2.0774 2.0774
Be 1.6088 0.0000 2.0774

---

4.
20
Lattice="-2.4179 5.4372 -3.3991 2.1176 -3.9142 -5.2114 -5.8494 -3.1593 1.6635" Properties=species:S:1:pos:R:3 comment="Ac3NdB4O12 PBE optimized geometry" final_energy_ev_per_cell=-163.49 e_form_raw_mev_per_atom=-3010 vol_a3_per_cell=303 space_group="R32 (155)" pbc="T T T"
O -3.7423 -5.1190 -2.0014
O -1.7506 2.4994 -5.4272
O -5.8043 2.5654 -1.9861
O -2.4831 -2.0383 -3.7099
O 0.1316 0.0485 -6.6480
O 0.4062 -2.3185 -6.0698
O -5.2878 -3.7334 -0.6959
O -4.1526 3.6481 -3.4395
O -1.3245 -4.4271 -4.1729
O -4.1144 -0.7197 -2.5764
O -6.1494 -0.5268 -0.8203
O -2.6271 0.3035 -4.1340
B -3.0749 -0.8182 -3.4735
B -5.2686 3.7049 -2.5969
B 0.7786 -1.1833 -6.7987
B -4.7346 -4.9762 -1.0248
Ac -0.2151 0.8954 -4.2793
Ac -1.7518 -3.5476 -1.8723
Ac -4.1828 1.0159 -0.7953
Nd 0.0000 0.0000 0.0000

---

5.
6
Lattice="3.9795 0.0000 0.0000 0.0000 3.9795 0.0000 -1.9897 -1.9897 6.5195" Properties=species:S:1:pos:R:3 comment="PaNiP2Ru2 PBE optimized geometry" formation_enthalpy_0k_ev_per_atom=-0.56 final_energy_ev_per_cell=-47.98 vol_a3_per_cell=103 space_group="I4/mmm (139)" pbc="T T T"
P 1.9897 1.9897 4.4119
P 0.0000 0.0000 2.1076
Ru 0.0000 1.9897 3.2597
Ru 1.9897 0.0000 3.2597
Pa 1.9897 1.9897 0.0000
Ni 0.0000 0.0000 0.0000

---

6.
4
Lattice="-1.6909 4.6816 2.7781 -4.6619 -1.9519 2.6365 5.1989 -2.3329 0.1536" Properties=species:S:1:pos:R:3 comment="BaZrIn2 PBE optimized geometry" formation_enthalpy_0k_ev_per_atom=0.02 final_energy_ev_per_cell=-15.88 vol_a3_per_cell=116 relative_energy_ev_per_atom=0.263 space_group="I4/mmm (139)" pbc="T T T"
Zr 0.1658 1.8568 2.8195
In -6.3527 2.7297 5.4146
In -3.1764 1.3649 2.7073
Ba -1.3197 -1.4599 2.7487

---

What did the sixth record say?
4
Lattice="-1.6909 4.6816 2.7781 -4.6619 -1.9519 2.6365 5.1989 -2.3329 0.1536" Properties=species:S:1:pos:R:3 comment="BaZrIn2 PBE optimized geometry" formation_enthalpy_0k_ev_per_atom=0.02 final_energy_ev_per_cell=-15.88 vol_a3_per_cell=116 relative_energy_ev_per_atom=0.263 space_group="I4/mmm (139)" pbc="T T T"
Zr 0.1658 1.8568 2.8195
In -6.3527 2.7297 5.4146
In -3.1764 1.3649 2.7073
Ba -1.3197 -1.4599 2.7487